Entry P
A plane-wave DFT calculation with PBE-GGA was carried out for a relaxed structure of SrHg4Bi.

extended XYZ file:
```
6
Lattice="2.5854 -6.7812 0.0000 2.5854 6.7812 0.0000 0.0000 0.0000 4.8629" Properties=species:S:1:pos:R:3 pbc="T T T"
Sr 0.0000 0.0000 0.0000
Hg 2.5854 4.3786 2.4314
Hg 2.5854 2.3620 0.0000
Hg 2.5854 -2.3620 0.0000
Hg 2.5854 -4.3786 2.4314
Bi 2.5854 0.0000 2.4314
```

***

Entry Q
A plane-wave DFT calculation with PBE-GGA was carried out for a relaxed structure of SrHg4Bi.

extended XYZ file:
```
6
Lattice="0.0000 4.4125 4.4125 4.4125 0.0000 4.4125 4.4125 4.4125 0.0000" Properties=species:S:1:pos:R:3 pbc="T T T"
Sr 0.0000 0.0000 0.0000
Hg 3.3158 3.3158 3.3158
Hg 5.5093 5.5093 3.3158
Hg 5.5093 3.3158 5.5093
Hg 3.3158 5.5093 5.5093
Bi 6.6188 6.6188 6.6188
```

***

How do the energies compare? Relative to the most stable structure, in eV/atom: entry P 0.000; entry Q 0.072.

***

Entry P
A plane-wave DFT calculation with PBE-GGA was carried out for a relaxed structure of SrHg2Bi2.

extended XYZ file:
```
10
Lattice="8.0328 0.0000 0.0000 0.0000 4.4364 0.0000 -0.6139 0.0000 9.5561" Properties=species:S:1:pos:R:3 pbc="T T T"
Sr 1.6736 1.1091 2.5862
Sr 5.7453 3.3273 6.9699
Hg 0.2489 1.1091 5.7035
Hg 3.9239 3.3273 1.3112
Hg 3.4950 1.1091 8.2449
Hg 7.1700 3.3273 3.8526
Bi 0.1803 1.1091 8.8074
Bi 2.6571 3.3273 5.2447
Bi 4.7618 1.1091 4.3113
Bi 7.2386 3.3273 0.7487
```

***

Entry Q
A plane-wave DFT calculation with PBE-GGA was carried out for a relaxed structure of SrHg2Bi2.

extended XYZ file:
```
5
Lattice="-2.5738 2.5738 6.1860 2.5738 -2.5738 6.1860 2.5738 2.5738 -6.1860" Properties=species:S:1:pos:R:3 pbc="T T T"
Sr 0.0000 0.0000 0.0000
Hg 0.0000 0.0000 4.8210
Hg 0.0000 0.0000 7.5510
Bi 2.5738 0.0000 3.0930
Bi 0.0000 2.5738 3.0930
```

***

How do the energies compare? Relative to the most stable structure, in eV/atom: entry P 0.000; entry Q 0.066.

***

Entry P
A plane-wave DFT calculation with PBE-GGA was carried out for a relaxed structure of Sr2HgBi.

extended XYZ file:
```
4
Lattice="-1.9523 3.4781 6.4870 1.9523 -3.4781 6.4870 1.9523 3.4781 -6.4870" Properties=species:S:1:pos:R:3 pbc="T T T"
Sr 0.0000 0.0000 3.1548
Sr 0.0000 0.0000 9.8193
Hg 0.0000 0.0000 0.0000
Bi 0.0000 0.0000 6.4870
```

***

Entry Q
A plane-wave DFT calculation with PBE-GGA was carried out for a relaxed structure of Sr2HgBi.

extended XYZ file:
```
4
Lattice="5.5270 0.0000 0.0000 0.0000 5.5270 0.0000 0.0000 0.0000 4.4648" Properties=species:S:1:pos:R:3 pbc="T T T"
Sr 0.0000 2.7635 0.0000
Sr 2.7635 0.0000 0.0000
Hg 0.0000 0.0000 2.2324
Bi 2.7635 2.7635 2.2324
```

***

Entry R
A plane-wave DFT calculation with PBE-GGA was carried out for a relaxed structure of Sr2HgBi.

extended XYZ file:
```
4
Lattice="2.4730 1.4278 7.7511 -2.4730 1.4278 7.7511 0.0000 -2.8556 7.7511" Properties=species:S:1:pos:R:3 pbc="T T T"
Sr 0.0000 0.0000 0.0000
Sr 0.0000 0.0000 4.3317
Hg 0.0000 0.0000 9.9924
Bi 0.0000 0.0000 13.7404
```

***

Entry S
A plane-wave DFT calculation with PBE-GGA was carried out for a relaxed structure of Sr2HgBi.

extended XYZ file:
```
4
Lattice="0.0000 4.1042 4.1042 4.1042 0.0000 4.1042 4.1042 4.1042 0.0000" Properties=species:S:1:pos:R:3 pbc="T T T"
Sr 2.0521 2.0521 2.0521
Sr 6.1562 6.1562 6.1562
Hg 0.0000 0.0000 0.0000
Bi 4.1042 4.1042 4.1042
```

***

How do the energies compare? Relative to the most stable structure, in eV/atom: entry P 0.810; entry Q 0.000; entry R 0.113; entry S 0.019.

***

Entry P
A plane-wave DFT calculation with PBE-GGA was carried out for a relaxed structure of Sr2Hg2Bi.

extended XYZ file:
```
10
Lattice="9.2395 0.0000 0.0000 0.0000 9.2395 0.0000 0.0000 0.0000 4.0832" Properties=species:S:1:pos:R:3 pbc="T T T"
Sr 1.6290 2.9907 0.0000
Sr 2.9907 7.6104 0.0000
Sr 6.2488 1.6290 0.0000
Sr 7.6104 6.2488 0.0000
Hg 1.1251 5.7448 2.0416
Hg 3.4946 1.1251 2.0416
Hg 5.7448 8.1144 2.0416
Hg 8.1144 3.4946 2.0416
Bi 0.0000 0.0000 0.0000
Bi 4.6197 4.6197 0.0000
```

***

Entry Q
A plane-wave DFT calculation with PBE-GGA was carried out for a relaxed structure of Sr2Hg2Bi.

extended XYZ file:
```
10
Lattice="6.4609 -2.4191 0.0000 6.4609 2.4191 0.0000 -5.9214 0.0000 11.0340" Properties=species:S:1:pos:R:3 pbc="T T T"
Sr -1.1691 0.0000 4.1047
Sr 1.8253 0.0000 1.0271
Sr 5.1751 0.0000 10.0069
Sr 8.1695 0.0000 6.9293
Hg 3.0697 0.0000 4.1051
Hg 5.2470 0.0000 1.3388
Hg 1.7534 0.0000 9.6952
Hg 3.9307 0.0000 6.9289
Bi -0.6666 0.0000 7.6150
Bi 7.6670 0.0000 3.4190
```

***

Entry R
A plane-wave DFT calculation with PBE-GGA was carried out for a relaxed structure of Sr2Hg2Bi.

extended XYZ file:
```
5
Lattice="-2.1398 2.1398 9.4926 2.1398 -2.1398 9.4926 2.1398 2.1398 -9.4926" Properties=species:S:1:pos:R:3 pbc="T T T"
Sr 0.0000 0.0000 1.9223
Sr 0.0000 0.0000 17.0629
Hg 2.1398 0.0000 4.7463
Hg 0.0000 2.1398 4.7463
Bi 0.0000 0.0000 9.4926
```

***

How do the energies compare? Relative to the most stable structure, in eV/atom: entry P 0.152; entry Q 0.000; entry R 0.070.

***

Entry P
A plane-wave DFT calculation with PBE-GGA was carried out for a relaxed structure of SrHgBi.

extended XYZ file:
```
3
Lattice="-2.0443 2.0443 5.7633 2.0443 -2.0443 5.7633 2.0443 2.0443 -5.7633" Properties=species:S:1:pos:R:3 pbc="T T T"
Sr 0.0000 0.0000 0.0000
Hg 0.0000 0.0000 3.8486
Bi 0.0000 0.0000 7.9407
```

***

Entry Q
A plane-wave DFT calculation with PBE-GGA was carried out for a relaxed structure of SrHgBi.

extended XYZ file:
```
3
Lattice="4.9868 0.0000 0.0000 -2.4934 4.3187 0.0000 0.0000 0.0000 4.6852" Properties=species:S:1:pos:R:3 pbc="T T T"
Sr 0.0000 0.0000 0.0000
Hg 0.0000 2.8791 3.0814
Bi 2.4934 1.4396 2.0388
```

***

How do the energies compare? Relative to the most stable structure, in eV/atom: entry P 0.042; entry Q 0.000.

***

Entry P
A plane-wave DFT calculation with PBE-GGA was carried out for a relaxed structure of Ta3HgBi.

extended XYZ file:
```
5
Lattice="5.0760 0.0000 0.0000 0.0000 5.0760 0.0000 0.0000 0.0000 5.0760" Properties=species:S:1:pos:R:3 pbc="T T T"
Ta 0.0000 0.0000 2.5380
Ta 0.0000 2.5380 0.0000
Ta 2.5380 0.0000 0.0000
Hg 0.0000 0.0000 0.0000
Bi 2.5380 2.5380 2.5380
```

***

Entry Q
A plane-wave DFT calculation with PBE-GGA was carried out for a relaxed structure of Ta3HgBi.

extended XYZ file:
```
5
Lattice="5.1403 0.0000 0.0000 0.0000 5.1403 0.0000 0.0000 0.0000 5.1403" Properties=species:S:1:pos:R:3 pbc="T T T"
Ta 0.0000 0.0000 2.5701
Ta 0.0000 2.5701 0.0000
Ta 2.5701 0.0000 0.0000
Hg 2.5701 2.5701 2.5701
Bi 0.0000 0.0000 0.0000
```

***

How do the energies compare? Relative to the most stable structure, in eV/atom: entry P 0.000; entry Q 0.334.